[1]
{"formula": "TbTmBi", "functional": "PBE", "state": "relaxed", "lattice": [[3.3702, 0.0000, 0.0000], [0.0000, 3.3702, 0.0000], [-1.6851, -1.6851, 8.9691]], "species": ["Tm", "Tb", "Bi"], "frac_coords": [[0.9444, 0.9444, 0.8888], [0.1377, 0.1377, 0.2754], [0.7679, 0.7679, 0.5358]], "dos_at_fermi_per_ev_atom": 1.424, "ef_mev_per_atom": 180, "e_tot_ev_per_cell": -12.4, "sg": "No. 107"}


[2]
{"formula": "TbTm5Bi4", "functional": "PBE", "state": "relaxed", "lattice": [[4.3619, 0.0000, 0.0000], [0.0000, 7.3382, -2.0245], [-2.1810, -2.9051, 10.8503]], "species": ["Tb", "Tm", "Tm", "Tm", "Tm", "Tm", "Bi", "Bi", "Bi", "Bi"], "frac_coords": [[0.5000, 0.0000, 0.0000], [0.8109, 0.7077, 0.6218], [0.8025, 0.2180, 0.6050], [0.1975, 0.7820, 0.3950], [0.5000, 0.5000, 0.0000], [0.1891, 0.2923, 0.3782], [0.3656, 0.0567, 0.7311], [0.9364, 0.6495, 0.8728], [0.6344, 0.9433, 0.2689], [0.0636, 0.3505, 0.1272]], "dos_at_fermi_per_ev_atom": 0.811, "ef_mev_per_atom": -520, "e_tot_ev_per_cell": -47.7, "sg": "No. 12"}


[3]
{"formula": "Tb3TmBi2", "functional": "PBE", "state": "relaxed", "lattice": [[4.5463, 0.0000, 0.0000], [0.0000, 4.5463, 0.0000], [0.0000, 0.0000, 8.6412]], "species": ["Tb", "Tb", "Tb", "Tm", "Bi", "Bi"], "frac_coords": [[0.5000, 0.0000, 0.3465], [0.0000, 0.5000, 0.6535], [0.0000, 0.0000, 0.0000], [0.5000, 0.5000, 0.0000], [0.5000, 0.0000, 0.7174], [0.0000, 0.5000, 0.2826]], "dos_at_fermi_per_ev_atom": 0.777, "ef_mev_per_atom": -600, "e_tot_ev_per_cell": -29.7, "sg": "No. 115"}


[4]
{"formula": "Tb3Y2TmBi6", "functional": "PBE", "state": "relaxed", "lattice": [[4.4798, 0.0000, 0.0000], [0.0000, 8.9530, 0.3264], [-2.2399, -2.5707, 9.4160]], "species": ["Tb", "Tb", "Tb", "Y", "Y", "Tm", "Bi", "Bi", "Bi", "Bi", "Bi", "Bi"], "frac_coords": [[0.5000, 0.5000, 0.0000], [0.8326, 0.1666, 0.6653], [0.1674, 0.8334, 0.3347], [0.8335, 0.6669, 0.6671], [0.1665, 0.3331, 0.3329], [0.5000, 0.0000, 0.0000], [0.3346, 0.9172, 0.6693], [0.6668, 0.5829, 0.3336], [0.6654, 0.0828, 0.3307], [0.9998, 0.2468, 0.9995], [0.0002, 0.7532, 0.0005], [0.3332, 0.4171, 0.6664]], "dos_at_fermi_per_ev_atom": 0.168, "ef_mev_per_atom": -869, "e_tot_ev_per_cell": -65.0, "sg": "No. 12"}


[5]
{"formula": "Tb2YTm3Bi6", "functional": "PBE", "state": "relaxed", "lattice": [[-0.7620, 2.6993, 3.4683], [-8.2320, -3.3505, 0.7991], [5.7022, -7.1616, 3.9580]], "species": ["Tb", "Tb", "Y", "Tm", "Tm", "Tm", "Bi", "Bi", "Bi", "Bi", "Bi", "Bi"], "frac_coords": [[0.8335, 0.6670, 0.6670], [0.1665, 0.3330, 0.3330], [0.5000, 0.0000, 0.0000], [0.5000, 0.5000, 0.0000], [0.8332, 0.1668, 0.6665], [0.1668, 0.8332, 0.3335], [0.3325, 0.9194, 0.6650], [0.6657, 0.5856, 0.3315], [0.6675, 0.0806, 0.3350], [0.9989, 0.2521, 0.9978], [0.0011, 0.7479, 0.0022], [0.3343, 0.4144, 0.6685]], "dos_at_fermi_per_ev_atom": 0.167, "ef_mev_per_atom": -834, "e_tot_ev_per_cell": -62.4, "sg": "No. 12"}


[6]
{"formula": "Tb5UBi6", "functional": "PBE", "state": "relaxed", "lattice": [[7.6544, -0.1219, -1.4422], [-4.1380, 6.4406, -1.4422], [0.1505, 0.2705, 7.7833]], "species": ["U", "Tb", "Tb", "Tb", "Tb", "Tb", "Bi", "Bi", "Bi", "Bi", "Bi", "Bi"], "frac_coords": [[0.0000, 0.0000, 0.0000], [0.8331, 0.1669, 0.5000], [0.6666, 0.3334, 0.0000], [0.5000, 0.5000, 0.5000], [0.3334, 0.6666, 0.0000], [0.1669, 0.8331, 0.5000], [0.4168, 0.0835, 0.2505], [0.9165, 0.5832, 0.7495], [0.2500, 0.2500, 0.7504], [0.7500, 0.7500, 0.2496], [0.0835, 0.4168, 0.2505], [0.5832, 0.9165, 0.7495]], "dos_at_fermi_per_ev_atom": 0.820, "ef_mev_per_atom": -699, "e_tot_ev_per_cell": -66.1, "sg": "No. 12"}


[7]
{"formula": "TbUBi6", "functional": "PBE", "state": "relaxed", "lattice": [[-0.5700, 3.9039, -2.5585], [2.0387, -2.0008, -3.5070], [-10.0808, -5.9280, -2.4782]], "species": ["Tb", "U", "Bi", "Bi", "Bi", "Bi", "Bi", "Bi"], "frac_coords": [[0.8250, 0.0000, 0.6501], [0.1730, 0.5000, 0.3460], [0.5683, 0.5000, 0.1367], [0.4411, 0.0000, 0.8823], [0.3084, 0.5000, 0.6168], [0.6896, 0.0000, 0.3792], [0.9299, 0.5000, 0.8598], [0.0646, 0.0000, 0.1291]], "dos_at_fermi_per_ev_atom": 1.432, "ef_mev_per_atom": -111, "e_tot_ev_per_cell": -40.1, "sg": "No. 38"}


[8]
{"formula": "Tb2Y3Bi2", "functional": "PBE", "state": "relaxed", "lattice": [[4.3256, 0.0000, 0.0000], [-2.1628, 6.1508, 0.0340], [0.0000, -2.7619, 8.1839]], "species": ["Tb", "Tb", "Y", "Y", "Y", "Bi", "Bi"], "frac_coords": [[0.8737, 0.7474, 0.2246], [0.1263, 0.2526, 0.7754], [0.5000, 0.0000, 0.0000], [0.6248, 0.2497, 0.4459], [0.3752, 0.7503, 0.5541], [0.8245, 0.6490, 0.8088], [0.1755, 0.3510, 0.1912]], "dos_at_fermi_per_ev_atom": 0.986, "ef_mev_per_atom": -483, "e_tot_ev_per_cell": -39.8, "sg": "No. 12"}


What is the formula in the second record? TbTm5Bi4